Entry 1:
A relaxed ScCdCoPb crystal. Source: OQMD via LeMat-Bulk, functional PBE-GGA.

```
ScCdCoPb
1.0
0.000 3.340 3.340
3.340 0.000 3.340
3.340 3.340 0.000
Cd Sc Pb Co
1 1 1 1
direct
0.500 0.500 0.500
0.250 0.250 0.250
0.000 0.000 0.000
0.750 0.750 0.750
```

spin magnetization	0.30	Bohr magnetons per cell
crystal system	cubic
ΔE to the lowest computed polymorph	0	meV per atom

Entry 2:
A relaxed CdCoPbSe3 crystal. Source: OQMD via LeMat-Bulk, functional PBE-GGA.

```
CdCoPbSe3
1.0
6.745 -2.006 0.000
6.745 2.006 0.000
0.000 0.000 10.706
Co Se Cd Pb
2 6 2 2
direct
0.467 0.467 0.250
0.533 0.533 0.750
0.360 0.360 0.429
0.640 0.640 0.571
0.640 0.640 0.929
0.928 0.928 0.750
0.072 0.072 0.250
0.360 0.360 0.071
0.000 0.000 0.500
0.000 0.000 0.000
0.244 0.244 0.750
0.756 0.756 0.250
```

spin magnetization	6.00	Bohr magnetons per cell
crystal system	orthorhombic
ΔE to the lowest computed polymorph	0	meV per atom

Entry 3:
A relaxed CdCoPbSe3 crystal. Source: OQMD via LeMat-Bulk, functional PBE-GGA.

```
CdCoPbSe3
1.0
6.839 -1.915 0.000
6.839 1.915 0.000
0.000 0.000 10.724
Cd Co Se Pb
2 2 6 2
direct
0.964 0.964 0.750
0.036 0.036 0.250
0.500 0.500 0.000
0.500 0.500 0.500
0.116 0.116 0.469
0.116 0.116 0.031
0.600 0.600 0.750
0.884 0.884 0.531
0.884 0.884 0.969
0.400 0.400 0.250
0.259 0.259 0.750
0.741 0.741 0.250
```

spin magnetization	2.66	Bohr magnetons per cell
crystal system	orthorhombic
ΔE to the lowest computed polymorph	138	meV per atom

> What is the ΔE to the lowest computed polymorph in the third record?

138 meV per atom